--- a ---
AcCoSn2 PBE optimized geometry; crystal system = orthorhombic; total magnetization = 0.001 μB/cell
1.0
4.6281 0.0000 0.0000
0.0000 18.7527 0.0000
0.0000 0.0000 4.6078
Ac Co Sn
4 4 8
Direct
0.0000 0.1415 0.0000
0.0000 0.8585 0.0000
0.5000 0.3585 0.0000
0.5000 0.6415 0.0000
0.0000 0.4318 0.5000
0.0000 0.5682 0.5000
0.5000 0.0682 0.5000
0.5000 0.9318 0.5000
0.0000 0.0000 0.5000
0.0000 0.2971 0.5000
0.0000 0.5000 0.0000
0.0000 0.7029 0.5000
0.5000 0.0000 0.0000
0.5000 0.2029 0.5000
0.5000 0.5000 0.5000
0.5000 0.7971 0.5000

---

--- b ---
AcCoSn2 PBE optimized geometry; crystal system = orthorhombic; total magnetization = 0.000 μB/cell
1.0
7.6551 0.0000 0.0000
0.0000 4.5991 0.0000
0.0000 0.0000 11.5457
Ac Co Sn
4 4 8
Direct
0.1791 0.2500 0.1293
0.3209 0.7500 0.6293
0.6791 0.2500 0.3707
0.8209 0.7500 0.8707
0.0081 0.7500 0.3607
0.4919 0.2500 0.8607
0.5081 0.7500 0.1393
0.9919 0.2500 0.6393
0.1287 0.2500 0.4359
0.1521 0.2500 0.8287
0.3479 0.7500 0.3287
0.3713 0.7500 0.9359
0.6287 0.2500 0.0641
0.6521 0.2500 0.6713
0.8479 0.7500 0.1713
0.8713 0.7500 0.5641

---

--- c ---
AcCoSn2 PBE optimized geometry; crystal system = trigonal; total magnetization = 0.004 μB/cell
1.0
4.0572 0.0000 0.0000
-2.0286 3.5137 0.0000
0.0000 0.0000 26.3960
Ac Co Sn
3 3 6
Direct
0.0000 0.0000 0.0000
0.3333 0.6667 0.6667
0.6667 0.3333 0.3333
0.0000 0.0000 0.5000
0.3333 0.6667 0.1667
0.6667 0.3333 0.8333
0.0000 0.0000 0.1259
0.0000 0.0000 0.8741
0.3333 0.6667 0.5408
0.3333 0.6667 0.7926
0.6667 0.3333 0.2074
0.6667 0.3333 0.4592

---

--- d ---
AcCoSn2 PBE optimized geometry; crystal system = tetragonal; total magnetization = 0.058 μB/cell
1.0
3.4557 0.0000 0.0000
0.0000 3.4557 0.0000
0.0000 0.0000 7.8451
Ac Co Sn
1 1 2
Direct
0.0000 0.0000 0.0000
0.0000 0.0000 0.5000
0.5000 0.5000 0.3148
0.5000 0.5000 0.6852

---

How far above the most stable structure does each one sit? In meV per atom: a 0; b 19; c 698; d 388.

---

--- a ---
SrAc3Co PBE optimized geometry; crystal system = cubic; total magnetization = 0.000 μB/cell
1.0
5.8473 0.0000 0.0000
0.0000 5.8473 0.0000
0.0000 0.0000 5.8473
Sr Ac Co
1 3 1
Direct
0.0000 0.0000 0.0000
0.0000 0.5000 0.5000
0.5000 0.0000 0.5000
0.5000 0.5000 0.0000
0.5000 0.5000 0.5000

---

--- b ---
SrAc3Co PBE optimized geometry; crystal system = trigonal; total magnetization = 0.000 μB/cell
1.0
3.6119 2.0853 10.0479
-3.6119 2.0853 10.0479
0.0000 -4.1706 10.0479
Sr Ac Co
2 6 2
Direct
0.1659 0.1659 0.1659
0.8341 0.8341 0.8341
0.0576 0.7086 0.3925
0.2914 0.6075 0.9424
0.3925 0.0576 0.7086
0.6075 0.9424 0.2914
0.7086 0.3925 0.0576
0.9424 0.2914 0.6075
0.3329 0.3329 0.3329
0.6671 0.6671 0.6671

---

How far above the most stable structure does each one sit? In meV per atom: a 0; b 74.

---

--- a ---
Ac3CoTe PBE optimized geometry; crystal system = monoclinic; total magnetization = 1.156 μB/cell
1.0
8.8596 0.0000 0.0000
0.0000 4.2412 0.0000
-2.4022 0.0000 9.2349
Ac Co Te
6 2 2
Direct
0.0774 0.2500 0.2554
0.3059 0.2500 0.9442
0.3129 0.7500 0.5865
0.6871 0.2500 0.4135
0.6941 0.7500 0.0558
0.9226 0.7500 0.7446
0.0379 0.2500 0.5497
0.9621 0.7500 0.4503
0.3916 0.7500 0.2392
0.6084 0.2500 0.7608

---

--- b ---
Ac3CoTe PBE optimized geometry; crystal system = cubic; total magnetization = 0.000 μB/cell
1.0
5.5780 0.0000 0.0000
0.0000 5.5780 0.0000
0.0000 0.0000 5.5780
Ac Co Te
3 1 1
Direct
0.0000 0.0000 0.5000
0.0000 0.5000 0.0000
0.5000 0.0000 0.0000
0.0000 0.0000 0.0000
0.5000 0.5000 0.5000

---

How far above the most stable structure does each one sit? In meV per atom: a 0; b 122.

---

--- a ---
Ac3Tl2Co PBE optimized geometry; crystal system = monoclinic; total magnetization = 0.000 μB/cell
1.0
17.6401 0.0000 0.0000
0.0000 5.5875 0.0000
-0.0087 0.0000 4.0255
Ac Tl Co
6 4 2
Direct
0.0000 0.0000 0.0000
0.1248 0.5000 0.5006
0.3752 0.0000 0.4994
0.5000 0.5000 0.0000
0.6248 0.0000 0.5006
0.8752 0.5000 0.4994
0.1981 0.0000 0.9992
0.3019 0.5000 0.0008
0.6981 0.5000 0.9992
0.8019 0.0000 0.0008
0.0000 0.5000 0.0000
0.5000 0.0000 0.0000

---

--- b ---
Ac3Tl2Co PBE optimized geometry; crystal system = orthorhombic; total magnetization = 1.956 μB/cell
1.0
6.6425 0.0000 0.0000
0.0000 10.8078 0.0000
0.0000 0.0000 5.4855
Ac Tl Co
6 4 2
Direct
0.0000 0.0000 0.0000
0.1490 0.3622 0.0000
0.3510 0.8622 0.5000
0.5000 0.5000 0.5000
0.6490 0.1378 0.5000
0.8510 0.6378 0.0000
0.1549 0.1886 0.5000
0.3451 0.6886 0.0000
0.6549 0.3114 0.0000
0.8451 0.8114 0.5000
0.0000 0.5000 0.5000
0.5000 0.0000 0.0000

---

How far above the most stable structure does each one sit? In meV per atom: a 0; b 223.

---

--- a ---
Ac6TlCo2 PBE optimized geometry; crystal system = orthorhombic; total magnetization = 0.000 μB/cell
1.0
-5.1034 5.4323 5.4607
5.1034 -5.4323 5.4607
5.1034 5.4323 -5.4607
Ac Tl Co
12 2 4
Direct
0.0255 0.2285 0.7970
0.1794 0.2913 0.4707
0.1794 0.7087 0.8881
0.3273 0.0094 0.6821
0.3273 0.6453 0.3179
0.4315 0.2285 0.2030
0.5685 0.7715 0.7970
0.6727 0.3547 0.6821
0.6727 0.9906 0.3179
0.8206 0.2913 0.1119
0.8206 0.7087 0.5293
0.9745 0.7715 0.2030
0.0000 0.0000 0.0000
0.5000 0.5000 0.0000
0.1063 0.6063 0.5000
0.3448 0.0000 0.3448
0.6552 0.0000 0.6552
0.8937 0.3937 0.5000

---

--- b ---
Ac6TlCo2 PBE optimized geometry; crystal system = monoclinic; total magnetization = 0.000 μB/cell
1.0
6.5103 -2.1102 0.0000
6.5103 2.1102 0.0000
-3.1804 0.0000 12.1191
Ac Tl Co
6 1 2
Direct
0.0356 0.0356 0.2837
0.2887 0.2887 0.8741
0.3365 0.3365 0.4231
0.6635 0.6635 0.5769
0.7113 0.7113 0.1259
0.9644 0.9644 0.7163
0.0000 0.0000 0.0000
0.3160 0.3160 0.6566
0.6840 0.6840 0.3434

---

How far above the most stable structure does each one sit? In meV per atom: a 0; b 20.

---

--- a ---
AcTm2Co PBE optimized geometry; crystal system = trigonal; total magnetization = 0.000 μB/cell
1.0
3.7417 0.0000 0.0000
-1.8709 3.2404 0.0000
0.0000 0.0000 31.0686
Ac Tm Co
3 6 3
Direct
0.0000 0.0000 0.0000
0.3333 0.6667 0.6667
0.6667 0.3333 0.3333
0.0000 0.0000 0.1195
0.0000 0.0000 0.8805
0.3333 0.6667 0.5472
0.3333 0.6667 0.7862
0.6667 0.3333 0.2138
0.6667 0.3333 0.4528
0.0000 0.0000 0.5000
0.3333 0.6667 0.1667
0.6667 0.3333 0.8333

---

--- b ---
AcTm2Co PBE optimized geometry; crystal system = tetragonal; total magnetization = 0.583 μB/cell
1.0
3.4602 0.0000 0.0000
0.0000 3.4602 0.0000
0.0000 0.0000 9.0563
Ac Tm Co
1 2 1
Direct
0.0000 0.0000 0.0000
0.5000 0.5000 0.3276
0.5000 0.5000 0.6724
0.0000 0.0000 0.5000

---

How far above the most stable structure does each one sit? In meV per atom: a 128; b 0.

---

--- a ---
AcYCo PBE optimized geometry; crystal system = trigonal; total magnetization = 0.000 μB/cell
1.0
4.0722 0.0000 0.0000
-2.0361 3.5267 0.0000
0.0000 0.0000 6.4058
Ac Y Co
1 1 1
Direct
0.0000 0.0000 0.0000
0.3333 0.6667 0.5389
0.6667 0.3333 0.7520

---

--- b ---
AcYCo PBE optimized geometry; crystal system = monoclinic; total magnetization = 0.000 μB/cell
1.0
7.1615 0.0000 0.0000
0.0000 4.1315 0.0000
-2.4064 0.0000 12.2775
Ac Y Co
4 4 4
Direct
0.1158 0.0000 0.3467
0.3842 0.5000 0.6533
0.6158 0.5000 0.3467
0.8842 0.0000 0.6533
0.2043 0.5000 0.1121
0.2957 0.0000 0.8879
0.7043 0.0000 0.1121
0.7957 0.5000 0.8879
0.0926 0.5000 0.7799
0.4074 0.0000 0.2201
0.5926 0.0000 0.7799
0.9074 0.5000 0.2201

---

How far above the most stable structure does each one sit? In meV per atom: a 43; b 0.

---

--- a ---
Ac3ZnCo PBE optimized geometry; crystal system = triclinic; total magnetization = 0.000 μB/cell
1.0
4.1536 0.0000 0.0000
-2.0697 7.6943 0.0000
-0.0004 -0.2360 10.3655
Ac Zn Co
6 2 2
Direct
0.0365 0.0701 0.2872
0.2397 0.4785 0.6725
0.3601 0.7182 0.0200
0.6399 0.2818 0.9800
0.7603 0.5215 0.3275
0.9635 0.9299 0.7128
0.4134 0.8266 0.4672
0.5866 0.1734 0.5328
0.1932 0.3876 0.1589
0.8068 0.6124 0.8411

---

--- b ---
Ac3ZnCo PBE optimized geometry; crystal system = cubic; total magnetization = 0.000 μB/cell
1.0
5.5392 0.0000 0.0000
0.0000 5.5392 0.0000
0.0000 0.0000 5.5392
Ac Zn Co
3 1 1
Direct
0.0000 0.0000 0.5000
0.0000 0.5000 0.0000
0.5000 0.0000 0.0000
0.5000 0.5000 0.5000
0.0000 0.0000 0.0000

---

How far above the most stable structure does each one sit? In meV per atom: a 0; b 110.

---

--- a ---
Ac4ZnCo PBE optimized geometry; crystal system = monoclinic; total magnetization = 0.000 μB/cell
1.0
6.6808 0.0000 0.0000
0.0000 7.5090 0.0000
-2.8711 0.0000 8.1333
Ac Zn Co
8 2 2
Direct
0.0156 0.0033 0.2227
0.0156 0.4967 0.2227
0.4382 0.2500 0.6283
0.4586 0.2500 0.0931
0.5414 0.7500 0.9069
0.5618 0.7500 0.3717
0.9844 0.5033 0.7773
0.9844 0.9967 0.7773
0.1904 0.7500 0.5480
0.8096 0.2500 0.4520
0.2090 0.7500 0.0537
0.7910 0.2500 0.9463

---

--- b ---
Ac4ZnCo PBE optimized geometry; crystal system = monoclinic; total magnetization = 0.000 μB/cell
1.0
4.8002 -7.8089 0.0000
4.8002 7.8089 0.0000
-4.3427 0.0000 5.7838
Ac Zn Co
8 2 2
Direct
0.0508 0.6366 0.8433
0.1978 0.2804 0.7263
0.2804 0.1978 0.2263
0.3634 0.9492 0.6567
0.6366 0.0508 0.3433
0.7196 0.8022 0.7737
0.8022 0.7196 0.2737
0.9492 0.3634 0.1567
0.3782 0.6218 0.2500
0.6218 0.3782 0.7500
0.0789 0.9211 0.7500
0.9211 0.0789 0.2500

---

How far above the most stable structure does each one sit? In meV per atom: a 0; b 21.

---

--- a ---
AcZn4Co PBE optimized geometry; crystal system = cubic; total magnetization = 0.000 μB/cell
1.0
0.0000 3.7924 3.7924
3.7924 0.0000 3.7924
3.7924 3.7924 0.0000
Ac Zn Co
1 4 1
Direct
0.0000 0.0000 0.0000
0.3777 0.3777 0.3777
0.3777 0.3777 0.8668
0.3777 0.8668 0.3777
0.8668 0.3777 0.3777
0.7500 0.7500 0.7500

---

--- b ---
AcZn4Co PBE optimized geometry; crystal system = orthorhombic; total magnetization = 0.000 μB/cell
1.0
7.7799 0.0000 0.0000
0.0000 4.0315 0.0000
0.0000 0.0000 7.2477
Ac Zn Co
2 8 2
Direct
0.2500 0.0000 0.0943
0.7500 0.0000 0.9057
0.0000 0.0000 0.5000
0.0656 0.5000 0.7642
0.2500 0.5000 0.4551
0.4344 0.5000 0.7642
0.5000 0.0000 0.5000
0.5656 0.5000 0.2358
0.7500 0.5000 0.5449
0.9344 0.5000 0.2358
0.2500 0.0000 0.6948
0.7500 0.0000 0.3052

---

How far above the most stable structure does each one sit? In meV per atom: a 186; b 0.

---

--- a ---
AcCrGe3 PBE optimized geometry; crystal system = cubic; total magnetization = 0.341 μB/cell
1.0
4.7619 0.0000 0.0000
0.0000 4.7619 0.0000
0.0000 0.0000 4.7619
Ac Cr Ge
1 1 3
Direct
0.0000 0.0000 0.0000
0.5000 0.5000 0.5000
0.0000 0.5000 0.5000
0.5000 0.0000 0.5000
0.5000 0.5000 0.0000

---

--- b ---
AcCrGe3 PBE optimized geometry; crystal system = hexagonal; total magnetization = 2.676 μB/cell
1.0
6.3200 0.0000 0.0000
-3.1600 5.4733 0.0000
0.0000 0.0000 5.8590
Ac Cr Ge
2 2 6
Direct
0.3333 0.6667 0.2500
0.6667 0.3333 0.7500
0.0000 0.0000 0.0000
0.0000 0.0000 0.5000
0.1904 0.3808 0.7500
0.1904 0.8096 0.7500
0.3808 0.1904 0.2500
0.6192 0.8096 0.7500
0.8096 0.1904 0.2500
0.8096 0.6192 0.2500

---

How far above the most stable structure does each one sit? In meV per atom: a 178; b 0.